The following is a PBE calculation of TiMo3C after structural relaxation, from Alexandria.

abc: 4.177 4.177 4.177
angles: 90.00 90.00 90.00
Fractional positions:
Ti  0.000  0.000  0.000
Mo  0.000  0.500  0.500
Mo  0.500  0.000  0.500
Mo  0.500  0.500  0.000
C  0.500  0.500  0.500

Energy   -49.47 eV/cell

***

The following is a PBE calculation of FeHRh2 after structural relaxation, from Alexandria.

abc: 6.989 6.989 4.605
angles: 101.72 101.72 23.38
Fractional positions:
Fe  0.087  0.087  0.295
Fe  0.913  0.913  0.705
H  0.331  0.331  0.441
H  0.669  0.669  0.559
Rh  0.253  0.253  0.759
Rh  0.428  0.428  0.206
Rh  0.572  0.572  0.794
Rh  0.747  0.747  0.241

Energy   -53.04 eV/cell

***

The following is a PBE calculation of Ho after structural relaxation, from Alexandria.

abc: 5.479 5.479 5.446
angles: 90.00 90.00 120.00
Fractional positions:
Ho  0.000  0.000  0.250
Ho  0.000  0.000  0.750
Ho  0.333  0.667  0.250
Ho  0.667  0.333  0.750

Energy   -14.66 eV/cell

***

> Which value of energy does entry 3 give?

-14.66 eV/cell